1.
VASP calculation (PBE-GGA) on Nb5CuSe8 after structural relaxation.

Calculated values
Final energy = -6.4625 eV per atom
Fermi-level density of states = 13.68 states/eV/cell
Total magnetic moment = 3.77 μB/f.u.
Space group = F-43m

abc: 7.669 7.669 7.669
angles: 60.00 60.00 60.00
Each line ends with the local moment (μB).
Atoms (fractional coordinates):
Se (0.864, 0.864, 0.407)  -0.04
Se (0.864, 0.864, 0.864)  -0.04
Se (0.372, 0.372, 0.372)  -0.01
Se (0.864, 0.407, 0.864)  -0.04
Se (0.884, 0.372, 0.372)  -0.01
Se (0.372, 0.884, 0.372)  -0.01
Se (0.407, 0.864, 0.864)  -0.04
Se (0.372, 0.372, 0.884)  -0.01
Nb (0.192, 0.603, 0.603)  0.52
Nb (0.603, 0.192, 0.603)  0.52
Nb (0.603, 0.603, 0.603)  0.52
Nb (0.603, 0.603, 0.192)  0.52
Nb (0.000, 0.000, 0.000)  1.24
Cu (0.250, 0.250, 0.250)  0.02

***

2.
VASP calculation (PBE-GGA) on NbCu3Te2Se2 after structural relaxation.

Calculated values
Final energy = -4.8602 eV per atom
Total magnetic moment = 0.00 μB/f.u.
Space group = Cmm2

abc: 5.869 5.869 5.853
angles: 90.00 90.00 91.82
Atoms (fractional coordinates):
Cu (0.000, 0.500, 0.009)
Cu (0.500, 0.000, 0.009)
Cu (0.000, 0.000, 0.497)
Te (0.267, 0.267, 0.742)
Te (0.733, 0.733, 0.742)
Se (0.762, 0.238, 0.248)
Se (0.238, 0.762, 0.248)
Nb (0.000, 0.000, 0.004)

***

3.
VASP calculation (PBE-GGA) on TiNbCu2Se after structural relaxation.

Calculated values
Final energy = -5.2797 eV per atom
Fermi-level density of states = 4.54 states/eV/cell
Total magnetic moment = 0.00 μB/f.u.
Space group = P4/mmm

abc: 4.415 4.702 4.415
angles: 90.00 90.00 90.00
Atoms (fractional coordinates):
Cu (0.000, 0.000, 0.500)
Cu (0.500, 0.000, 0.000)
Ti (0.000, 0.500, 0.000)
Nb (0.500, 0.500, 0.500)
Se (0.000, 0.000, 0.000)

***

4.
VASP calculation (PBE-GGA) on Nb2Tl3CuSe12 after structural relaxation.

Calculated values
Final energy = -4.5284 eV per atom
Total magnetic moment = 0.00 μB/f.u.
Space group = P2_1/c

abc: 13.907 9.938 17.375
angles: 61.03 90.00 90.00
Atoms (fractional coordinates):
Se (0.862, 0.007, 0.368)
Se (0.181, 0.512, 0.246)
Se (0.090, 0.403, 0.432)
Se (0.424, 0.919, 0.655)
Se (0.609, 0.991, 0.015)
Se (0.762, 0.864, 0.075)
Se (0.668, 0.349, 0.110)
Se (0.667, 0.647, 0.438)
Se (0.362, 0.993, 0.132)
Se (0.896, 0.369, 0.176)
Se (0.832, 0.349, 0.610)
Se (0.574, 0.613, 0.670)
Se (0.238, 0.136, 0.925)
Se (0.104, 0.631, 0.824)
Se (0.910, 0.597, 0.568)
Se (0.168, 0.651, 0.390)
Se (0.280, 0.671, 0.120)
Se (0.319, 0.512, 0.746)
Se (0.074, 0.387, 0.830)
Se (0.204, 0.924, 0.802)
Se (0.138, 0.993, 0.632)
Se (0.833, 0.647, 0.938)
Se (0.109, 0.009, 0.485)
Se (0.604, 0.369, 0.676)
Se (0.926, 0.613, 0.170)
Se (0.891, 0.991, 0.515)
Se (0.396, 0.631, 0.324)
Se (0.924, 0.081, 0.845)
Se (0.410, 0.403, 0.932)
Se (0.391, 0.009, 0.985)
Se (0.167, 0.353, 0.062)
Se (0.720, 0.329, 0.880)
Se (0.220, 0.671, 0.620)
Se (0.590, 0.597, 0.068)
Se (0.819, 0.488, 0.754)
Se (0.704, 0.076, 0.698)
Se (0.076, 0.919, 0.155)
Se (0.638, 0.007, 0.868)
Se (0.333, 0.353, 0.562)
Se (0.796, 0.076, 0.198)
Se (0.332, 0.651, 0.890)
Se (0.780, 0.329, 0.380)
Se (0.738, 0.864, 0.575)
Se (0.681, 0.488, 0.254)
Se (0.576, 0.081, 0.345)
Se (0.426, 0.387, 0.330)
Se (0.262, 0.136, 0.425)
Se (0.296, 0.924, 0.302)
Tl (0.600, 0.902, 0.238)
Tl (0.377, 0.332, 0.134)
Tl (0.123, 0.332, 0.634)
Tl (0.414, 0.787, 0.511)
Tl (0.900, 0.902, 0.738)
Tl (0.914, 0.213, 0.989)
Tl (0.400, 0.098, 0.762)
Tl (0.086, 0.787, 0.011)
Tl (0.877, 0.668, 0.366)
Tl (0.100, 0.098, 0.262)
Tl (0.623, 0.668, 0.866)
Tl (0.586, 0.213, 0.489)
Nb (0.270, 0.785, 0.720)
Nb (0.730, 0.215, 0.280)
Nb (0.724, 0.592, 0.585)
Nb (0.776, 0.592, 0.085)
Nb (0.224, 0.408, 0.915)
Nb (0.230, 0.785, 0.220)
Nb (0.770, 0.215, 0.780)
Nb (0.276, 0.408, 0.415)
Cu (0.197, 0.107, 0.071)
Cu (0.303, 0.107, 0.571)
Cu (0.697, 0.893, 0.429)
Cu (0.803, 0.893, 0.929)

***

Repeat the second record exactly.
VASP calculation (PBE-GGA) on NbCu3Te2Se2 after structural relaxation.

Calculated values
Final energy = -4.8602 eV per atom
Total magnetic moment = 0.00 μB/f.u.
Space group = Cmm2

abc: 5.869 5.869 5.853
angles: 90.00 90.00 91.82
Atoms (fractional coordinates):
Cu (0.000, 0.500, 0.009)
Cu (0.500, 0.000, 0.009)
Cu (0.000, 0.000, 0.497)
Te (0.267, 0.267, 0.742)
Te (0.733, 0.733, 0.742)
Se (0.762, 0.238, 0.248)
Se (0.238, 0.762, 0.248)
Nb (0.000, 0.000, 0.004)